Sm5Ho8Tm | PBE | relaxed

Structure (POSCAR):
```
Sm5Ho8Tm
1.0
-4.789 4.789 5.013
4.789 -4.789 5.013
4.789 4.789 -5.013
Sm Ho Tm
5 8 1
direct
0.000 0.000 0.000 Sm
0.311 0.208 0.677 Sm
0.365 0.689 0.897 Sm
0.531 0.635 0.323 Sm
0.792 0.469 0.103 Sm
0.022 0.767 0.604 Ho
0.072 0.335 0.912 Ho
0.163 0.418 0.396 Ho
0.233 0.837 0.255 Ho
0.424 0.160 0.088 Ho
0.582 0.978 0.745 Ho
0.665 0.576 0.736 Ho
0.840 0.928 0.264 Ho
0.750 0.250 0.500 Tm
```

**SG**: No. 82
**Density**: 8088 kg/m3
**N(E_F)**: 18.89 states/eV/cell



SmHo2Tm7 | PBE | relaxed

Structure (POSCAR):
```
SmHo2Tm7
1.0
6.072 0.000 0.000
2.018 6.713 0.000
2.023 1.229 7.479
Sm Ho Tm
1 2 7
direct
0.000 0.000 0.000 Sm
0.200 0.300 0.600 Ho
0.800 0.700 0.400 Ho
0.000 0.500 0.000 Tm
0.201 0.800 0.600 Tm
0.400 0.100 0.200 Tm
0.401 0.599 0.201 Tm
0.599 0.401 0.799 Tm
0.600 0.900 0.800 Tm
0.799 0.200 0.400 Tm
```

**SG**: No. 2
**Density**: 9058 kg/m3
**Offset from the most stable computed form**: 0 kJ/mol of formula units
**N(E_F)**: 12.92 states/eV/cell



Sm2Ho5Tm3 | PBE | relaxed

Structure (POSCAR):
```
Sm2Ho5Tm3
1.0
5.421 -7.140 0.000
5.421 7.140 0.000
-4.558 0.000 8.480
Sm Ho Tm
4 10 6
direct
0.045 0.294 0.045 Sm
0.294 0.045 0.545 Sm
0.706 0.955 0.455 Sm
0.955 0.706 0.955 Sm
0.036 0.964 0.750 Ho
0.082 0.324 0.681 Ho
0.252 0.748 0.750 Ho
0.324 0.082 0.181 Ho
0.500 0.500 0.250 Ho
0.500 0.500 0.750 Ho
0.676 0.918 0.819 Ho
0.748 0.252 0.250 Ho
0.918 0.676 0.319 Ho
0.964 0.036 0.250 Ho
0.200 0.456 0.422 Tm
0.273 0.727 0.250 Tm
0.456 0.200 0.922 Tm
0.544 0.800 0.078 Tm
0.727 0.273 0.750 Tm
0.800 0.544 0.578 Tm
```

**SG**: No. 15
**Density**: 8258 kg/m3
**Offset from the most stable computed form**: 0 kJ/mol of formula units
**N(E_F)**: 33.74 states/eV/cell



Sm2Ho2Tm | PBE | relaxed

Structure (POSCAR):
```
Sm2Ho2Tm
1.0
-1.789 2.839 15.921
1.789 -2.839 15.921
1.789 2.839 -15.921
Sm Ho Tm
4 4 2
direct
0.044 0.294 0.750 Sm
0.440 0.190 0.250 Sm
0.560 0.810 0.750 Sm
0.956 0.706 0.250 Sm
0.132 0.882 0.250 Ho
0.229 0.979 0.250 Ho
0.771 0.021 0.750 Ho
0.868 0.118 0.750 Ho
0.326 0.576 0.750 Tm
0.674 0.424 0.250 Tm
```

**SG**: No. 74
**Density**: 8210 kg/m3
**Offset from the most stable computed form**: 64 kJ/mol of formula units
**N(E_F)**: 14.13 states/eV/cell



Sm2Ho7Tm | PBE | relaxed

Structure (POSCAR):
```
Sm2Ho7Tm
1.0
6.125 0.000 0.000
-1.026 6.044 0.000
-3.050 -2.597 8.464
Sm Ho Tm
2 7 1
direct
0.100 0.001 0.201 Sm
0.900 0.999 0.799 Sm
0.100 0.500 0.699 Ho
0.300 0.000 0.599 Ho
0.301 0.502 0.101 Ho
0.500 0.000 0.000 Ho
0.699 0.498 0.899 Ho
0.700 0.000 0.401 Ho
0.900 0.500 0.301 Ho
0.500 0.500 0.500 Tm
```

**SG**: No. 2
**Density**: 8606 kg/m3
**Offset from the most stable computed form**: 0 kJ/mol of formula units
**N(E_F)**: 13.90 states/eV/cell



Sm5HoTm3 | PBE | relaxed

Structure (POSCAR):
```
Sm5HoTm3
1.0
7.563 -5.792 0.000
7.563 5.792 0.000
-6.271 0.000 7.569
Sm Ho Tm
10 2 6
direct
0.102 0.606 0.258 Sm
0.228 0.228 0.239 Sm
0.245 0.755 0.000 Sm
0.276 0.276 0.956 Sm
0.394 0.898 0.742 Sm
0.606 0.102 0.258 Sm
0.724 0.724 0.044 Sm
0.755 0.245 0.000 Sm
0.772 0.772 0.761 Sm
0.898 0.394 0.742 Sm
0.247 0.247 0.594 Ho
0.753 0.753 0.406 Ho
0.000 0.000 0.500 Tm
0.009 0.009 0.825 Tm
0.484 0.484 0.646 Tm
0.500 0.500 0.000 Tm
0.516 0.516 0.354 Tm
0.991 0.991 0.175 Tm
```

**SG**: No. 12
**Density**: 7129 kg/m3
**Offset from the most stable computed form**: 271 kJ/mol of formula units
**N(E_F)**: 26.33 states/eV/cell



Sm4Ho7Tm | PBE | relaxed

Structure (POSCAR):
```
Sm4Ho7Tm
1.0
6.509 0.000 0.000
0.948 6.726 0.000
2.008 0.437 8.804
Sm Ho Tm
4 7 1
direct
0.139 0.310 0.283 Sm
0.340 0.882 0.693 Sm
0.660 0.118 0.307 Sm
0.861 0.690 0.717 Sm
0.011 0.253 0.950 Ho
0.183 0.801 0.359 Ho
0.312 0.393 0.616 Ho
0.500 0.000 0.000 Ho
0.688 0.607 0.384 Ho
0.817 0.199 0.641 Ho
0.989 0.747 0.050 Ho
0.500 0.500 0.000 Tm
```

**SG**: No. 2
**Density**: 8292 kg/m3
**Offset from the most stable computed form**: 0 kJ/mol of formula units
**N(E_F)**: 18.99 states/eV/cell



Sm2Ho5Tm5 | PBE | relaxed

Structure (POSCAR):
```
Sm2Ho5Tm5
1.0
7.479 -2.491 0.000
7.479 2.491 0.000
-4.985 0.000 9.974
Sm Ho Tm
2 5 5
direct
0.083 0.083 0.249 Sm
0.917 0.917 0.751 Sm
0.334 0.334 0.500 Ho
0.416 0.416 0.250 Ho
0.500 0.500 0.000 Ho
0.584 0.584 0.750 Ho
0.666 0.666 0.500 Ho
0.000 0.000 0.500 Tm
0.168 0.168 0.000 Tm
0.249 0.249 0.750 Tm
0.751 0.751 0.250 Tm
0.832 0.832 0.000 Tm
```

**SG**: No. 12
**Density**: 8803 kg/m3
**N(E_F)**: 17.02 states/eV/cell



Sm3Ho4Tm4 | PBE | relaxed

Structure (POSCAR):
```
Sm3Ho4Tm4
1.0
10.498 0.000 0.000
0.000 2.819 5.979
0.000 -2.819 5.979
Sm Ho Tm
3 4 4
direct
0.000 0.000 0.000 Sm
0.291 0.154 0.154 Sm
0.709 0.154 0.154 Sm
0.000 0.703 0.703 Ho
0.213 0.498 0.498 Ho
0.500 0.635 0.635 Ho
0.787 0.498 0.498 Ho
0.000 0.301 0.301 Tm
0.295 0.848 0.848 Tm
0.500 0.362 0.362 Tm
0.705 0.848 0.848 Tm
```

**SG**: No. 38
**Density**: 8384 kg/m3
**Offset from the most stable computed form**: 146 kJ/mol of formula units
**N(E_F)**: 16.42 states/eV/cell



Sm12HoTm5 | PBE | relaxed

Structure (POSCAR):
```
Sm12HoTm5
1.0
7.580 -7.610 0.000
7.580 7.610 0.000
0.000 0.000 5.075
Sm Ho Tm
12 1 5
direct
0.002 0.668 0.500 Sm
0.165 0.165 0.000 Sm
0.168 0.501 0.000 Sm
0.332 0.998 0.500 Sm
0.334 0.334 0.500 Sm
0.499 0.832 0.000 Sm
0.501 0.168 0.000 Sm
0.666 0.666 0.500 Sm
0.668 0.002 0.500 Sm
0.832 0.499 0.000 Sm
0.835 0.835 0.000 Sm
0.998 0.332 0.500 Sm
0.500 0.500 0.000 Ho
0.000 0.000 0.500 Tm
0.167 0.833 0.000 Tm
0.333 0.667 0.500 Tm
0.667 0.333 0.500 Tm
0.833 0.167 0.000 Tm
```

**SG**: No. 65
**Density**: 7980 kg/m3
**N(E_F)**: 26.09 states/eV/cell



SmHo9Tm2 | PBE | relaxed

Structure (POSCAR):
```
SmHo9Tm2
1.0
4.987 0.000 0.000
0.000 4.987 0.000
0.000 0.000 14.965
Sm Ho Tm
1 9 2
direct
0.000 0.000 0.000 Sm
0.000 0.500 0.169 Ho
0.000 0.500 0.500 Ho
0.000 0.500 0.831 Ho
0.500 0.000 0.169 Ho
0.500 0.000 0.500 Ho
0.500 0.000 0.831 Ho
0.500 0.500 0.000 Ho
0.500 0.500 0.335 Ho
0.500 0.500 0.665 Ho
0.000 0.000 0.334 Tm
0.000 0.000 0.666 Tm
```

**SG**: No. 123
**Density**: 8802 kg/m3
**Offset from the most stable computed form**: 0 kJ/mol of formula units
**N(E_F)**: 17.67 states/eV/cell



Sm4Ho5Tm | PBE | relaxed

Structure (POSCAR):
```
Sm4Ho5Tm
1.0
-5.312 5.312 2.950
5.312 -5.312 2.950
5.312 5.312 -2.950
Sm Ho Tm
4 5 1
direct
0.000 0.323 0.323 Sm
0.000 0.677 0.677 Sm
0.323 0.000 0.323 Sm
0.677 0.000 0.677 Sm
0.241 0.241 0.000 Ho
0.315 0.315 0.623 Ho
0.315 0.693 0.000 Ho
0.693 0.315 0.000 Ho
0.693 0.693 0.377 Ho
0.765 0.765 0.000 Tm
```

**SG**: No. 107
**Density**: 7953 kg/m3
**Offset from the most stable computed form**: 57 kJ/mol of formula units
**N(E_F)**: 13.25 states/eV/cell



Sm5Ho12Tm2 | PBE | relaxed

Structure (POSCAR):
```
Sm5Ho12Tm2
1.0
5.996 0.000 0.000
0.213 9.719 0.000
1.415 3.784 10.449
Sm Ho Tm
5 12 2
direct
0.000 0.000 0.000 Sm
0.100 0.963 0.345 Sm
0.498 0.456 0.168 Sm
0.502 0.544 0.832 Sm
0.900 0.037 0.655 Sm
0.039 0.683 0.657 Ho
0.072 0.316 0.040 Ho
0.164 0.317 0.725 Ho
0.387 0.902 0.788 Ho
0.428 0.822 0.108 Ho
0.430 0.183 0.487 Ho
0.570 0.817 0.513 Ho
0.572 0.178 0.892 Ho
0.613 0.098 0.212 Ho
0.836 0.683 0.275 Ho
0.928 0.684 0.960 Ho
0.961 0.317 0.343 Ho
0.283 0.565 0.421 Tm
0.717 0.435 0.579 Tm
```

**SG**: No. 2
**Density**: 8368 kg/m3
**N(E_F)**: 29.65 states/eV/cell



Sm5Ho3Tm | PBE | relaxed

Structure (POSCAR):
```
Sm5Ho3Tm
1.0
8.173 -3.354 0.000
8.173 3.354 0.000
-3.983 0.000 10.812
Sm Ho Tm
10 6 2
direct
0.109 0.111 0.551 Sm
0.111 0.109 0.051 Sm
0.188 0.812 0.750 Sm
0.239 0.417 0.654 Sm
0.417 0.239 0.154 Sm
0.583 0.761 0.846 Sm
0.761 0.583 0.346 Sm
0.812 0.188 0.250 Sm
0.889 0.891 0.949 Sm
0.891 0.889 0.449 Sm
0.141 0.336 0.872 Ho
0.336 0.141 0.372 Ho
0.500 0.500 0.000 Ho
0.500 0.500 0.500 Ho
0.664 0.859 0.628 Ho
0.859 0.664 0.128 Ho
0.263 0.737 0.250 Tm
0.737 0.263 0.750 Tm
```

**SG**: No. 15
**Density**: 7929 kg/m3
**Offset from the most stable computed form**: 0 kJ/mol of formula units
**N(E_F)**: 24.81 states/eV/cell



Sm4HoTm15 | PBE | relaxed

Structure (POSCAR):
```
Sm4HoTm15
1.0
4.975 0.000 0.000
0.000 4.975 0.000
0.000 0.000 24.819
Sm Ho Tm
4 1 15
direct
0.000 0.000 0.100 Sm
0.000 0.000 0.300 Sm
0.000 0.000 0.700 Sm
0.000 0.000 0.900 Sm
0.000 0.000 0.500 Ho
0.000 0.500 0.000 Tm
0.000 0.500 0.201 Tm
0.000 0.500 0.401 Tm
0.000 0.500 0.599 Tm
0.000 0.500 0.799 Tm
0.500 0.000 0.000 Tm
0.500 0.000 0.201 Tm
0.500 0.000 0.401 Tm
0.500 0.000 0.599 Tm
0.500 0.000 0.799 Tm
0.500 0.500 0.100 Tm
0.500 0.500 0.301 Tm
0.500 0.500 0.500 Tm
0.500 0.500 0.699 Tm
0.500 0.500 0.900 Tm
```

**SG**: No. 123
**Density**: 8921 kg/m3
**N(E_F)**: 27.59 states/eV/cell



Sm4HoTm4 | PBE | relaxed

Structure (POSCAR):
```
Sm4HoTm4
1.0
8.397 -2.776 0.000
8.397 2.776 0.000
-2.686 0.000 6.197
Sm Ho Tm
4 1 4
direct
0.134 0.134 0.460 Sm
0.280 0.280 0.213 Sm
0.720 0.720 0.787 Sm
0.866 0.866 0.540 Sm
0.500 0.500 0.500 Ho
0.071 0.071 0.875 Tm
0.377 0.377 0.826 Tm
0.623 0.623 0.174 Tm
0.929 0.929 0.125 Tm
```

**SG**: No. 12
**Density**: 8290 kg/m3
**Offset from the most stable computed form**: 74 kJ/mol of formula units
**N(E_F)**: 15.22 states/eV/cell



Sm3Ho3Tm | PBE | relaxed

Structure (POSCAR):
```
Sm3Ho3Tm
1.0
3.094 1.786 14.234
-3.094 1.786 14.234
0.000 -3.572 14.234
Sm Ho Tm
6 6 2
direct
0.132 0.462 0.801 Sm
0.199 0.868 0.538 Sm
0.462 0.801 0.132 Sm
0.538 0.199 0.868 Sm
0.801 0.132 0.462 Sm
0.868 0.538 0.199 Sm
0.065 0.731 0.398 Ho
0.269 0.602 0.935 Ho
0.398 0.065 0.731 Ho
0.602 0.935 0.269 Ho
0.731 0.398 0.065 Ho
0.935 0.269 0.602 Ho
0.333 0.333 0.333 Tm
0.667 0.667 0.667 Tm
```

**SG**: No. 148
**Density**: 7845 kg/m3
**Offset from the most stable computed form**: 97 kJ/mol of formula units
**N(E_F)**: 20.63 states/eV/cell



SmHo3Tm5 | PBE | relaxed

Structure (POSCAR):
```
SmHo3Tm5
1.0
-3.561 8.633 4.575
3.561 -8.633 4.575
3.561 8.633 -4.575
Sm Ho Tm
2 6 10
direct
0.299 0.049 0.250 Sm
0.701 0.951 0.750 Sm
0.000 0.000 0.500 Ho
0.000 0.500 0.000 Ho
0.186 0.748 0.438 Ho
0.190 0.252 0.938 Ho
0.810 0.748 0.062 Ho
0.814 0.252 0.562 Ho
0.156 0.317 0.335 Tm
0.156 0.821 0.839 Tm
0.342 0.592 0.750 Tm
0.482 0.317 0.661 Tm
0.482 0.821 0.165 Tm
0.518 0.179 0.835 Tm
0.518 0.683 0.339 Tm
0.658 0.408 0.250 Tm
0.844 0.179 0.161 Tm
0.844 0.683 0.665 Tm
```

**SG**: No. 74
**Density**: 8796 kg/m3
**Offset from the most stable computed form**: 0 kJ/mol of formula units
**N(E_F)**: 23.27 states/eV/cell



SmHoTm6 | PBE | relaxed

Structure (POSCAR):
```
SmHoTm6
1.0
3.674 -5.801 0.000
3.674 5.801 0.000
0.000 0.000 5.795
Sm Ho Tm
1 1 6
direct
0.000 0.000 0.000 Sm
0.500 0.500 0.000 Ho
0.000 0.500 0.000 Tm
0.247 0.753 0.500 Tm
0.256 0.256 0.500 Tm
0.500 0.000 0.000 Tm
0.744 0.744 0.500 Tm
0.753 0.247 0.500 Tm
```

**SG**: No. 65
**Density**: 8933 kg/m3
**Offset from the most stable computed form**: 0 kJ/mol of formula units
**N(E_F)**: 16.57 states/eV/cell



| no. | M_tot (μB/atom) | formation enthalpy at 0 K (eV/f.u.) |
| --- | --- | --- |
| 1 | 0.000 | 3.5 |
| 2 | 0.000 | 0.2 |
| 3 | 0.000 | 2.2 |
| 4 | 0.000 | 0.7 |
| 5 | 0.000 | 0.2 |
| 6 | 0.000 | 4.5 |
| 7 | 0.000 | 1.1 |
| 8 | 0.000 | 0.3 |
| 9 | 0.000 | 1.7 |
| 10 | 0.000 | 0.4 |
| 11 | 0.000 | 0.3 |
| 12 | 0.000 | 2.5 |
| 13 | 0.000 | 2.3 |
| 14 | 0.000 | 1.6 |
| 15 | 0.000 | 0.5 |
| 16 | 0.000 | 1.0 |
| 17 | 0.000 | 1.1 |
| 18 | 0.000 | 1.2 |
| 19 | 0.000 | 1.0 |